Entry 1:
The following is a DFT calculation (GGA-PBE) of an optimized crystal structure of ScNb2AlH.

Computed properties:
**Calculated density**: 5.6 g cm⁻³
**Total energy**: -6.968 eV per atom

abc: 4.088 4.088 4.558
angles: 90.00 90.00 90.00
Element x y z (fractional)
Sc 0.000 0.000 0.500
H 0.000 0.000 0.000
Nb 0.000 0.500 0.000
Nb 0.500 0.000 0.000
Al 0.500 0.500 0.500

Entry 2:
The following is a DFT calculation (GGA-PBE) of an optimized crystal structure of TaNb2AlH.

Computed properties:
**E above lowest polymorph**: 29 kJ/mol of formula units
**Calculated density**: 9.0 g cm⁻³
**Total energy**: -7.932 eV per atom

abc: 4.019 4.019 4.517
angles: 90.00 90.00 90.00
Element x y z (fractional)
H 0.000 0.000 0.000
Nb 0.000 0.500 0.000
Nb 0.500 0.000 0.000
Al 0.000 0.000 0.500
Ta 0.500 0.500 0.500